Record 1
This record from the Alexandria database describes a relaxed ZnInO crystal. The functional is PBE.

Cell and atoms, written as CIF:
```
data_ZnInO
_symmetry_space_group_name_H-M 'P m n 21'
_symmetry_Int_Tables_number 31
_symmetry_space_group_name_Hall 'P 2ac -2'
_cell_length_a 3.308
_cell_length_b 5.765
_cell_length_c 5.598
_cell_angle_alpha 90.00
_cell_angle_beta 90.00
_cell_angle_gamma 90.00
loop_
_atom_site_label
_atom_site_fract_x
_atom_site_fract_y
_atom_site_fract_z
Zn1 0.000 0.044 0.000
In1 0.000 0.495 0.382
O1 0.000 0.084 0.353
```

Computed properties:
- calculated density (g/cm³) = 6.1
- energy above the lowest structure with this stoichiometry (meV per atom) = 0

Record 2
This record from the Alexandria database describes a relaxed Zn2In2O5 crystal. The functional is PBE.

Cell and atoms, written as CIF:
```
data_Zn2In2O5
_symmetry_space_group_name_H-M 'R 3 m'
_symmetry_Int_Tables_number 160
_symmetry_space_group_name_Hall 'R 3 -2"'
_cell_length_a 3.4780
_cell_length_b 3.4780
_cell_length_c 34.7295
_cell_angle_alpha 90.00
_cell_angle_beta 90.00
_cell_angle_gamma 120.00
loop_
_atom_site_label
_atom_site_fract_x
_atom_site_fract_y
_atom_site_fract_z
Zn1 0.0000 0.0000 0.0000
Zn2 0.0000 0.0000 0.1595
In1 0.0000 0.0000 0.5800
In2 0.0000 0.0000 0.7462
O1 0.0000 0.0000 0.0783
O2 0.0000 0.0000 0.2165
O3 0.0000 0.0000 0.6822
O4 0.0000 0.0000 0.8096
O5 0.0000 0.0000 0.9428
```

Computed properties:
- calculated density (g/cm³) = 6.0
- energy above the lowest structure with this stoichiometry (meV per atom) = 0

Record 3
This record from the Alexandria database describes a relaxed Zr4In2O crystal. The functional is PBE.

Cell and atoms, written as CIF:
```
data_Zr4In2O
_symmetry_space_group_name_H-M 'I 4/m m m'
_symmetry_Int_Tables_number 139
_symmetry_space_group_name_Hall '-I 4 2'
_cell_length_a 4.356
_cell_length_b 4.356
_cell_length_c 15.508
_cell_angle_alpha 90.00
_cell_angle_beta 90.00
_cell_angle_gamma 90.00
loop_
_atom_site_label
_atom_site_fract_x
_atom_site_fract_y
_atom_site_fract_z
Zr1 0.000 0.000 0.160
Zr2 0.000 0.500 0.000
In1 0.000 0.000 0.354
O1 0.000 0.000 0.000
```

Computed properties:
- calculated density (g/cm³) = 6.9
- uncorrected energy (eV/atom) = -7.19

Record 4
This record from the Alexandria database describes a relaxed Zr6InO crystal. The functional is PBE.

Cell and atoms, written as CIF:
```
data_Zr6InO
_symmetry_space_group_name_H-M 'P -1'
_symmetry_Int_Tables_number 2
_symmetry_space_group_name_Hall '-P 1'
_cell_length_a 5.241
_cell_length_b 5.852
_cell_length_c 6.053
_cell_angle_alpha 80.17
_cell_angle_beta 65.51
_cell_angle_gamma 87.72
loop_
_atom_site_label
_atom_site_fract_x
_atom_site_fract_y
_atom_site_fract_z
Zr1 0.057 0.293 0.346
Zr2 0.182 0.825 0.056
Zr3 0.424 0.397 0.764
In1 0.500 0.000 0.500
O1 0.000 0.500 0.000
```

Computed properties:
- calculated density (g/cm³) = 6.8
- uncorrected energy (eV/atom) = -8.06

Record 5
This record from the Alexandria database describes a relaxed ZrIn2O5 crystal. The functional is PBE.

Cell and atoms, written as CIF:
```
data_ZrIn2O5
_symmetry_space_group_name_H-M 'P n m a'
_symmetry_Int_Tables_number 62
_symmetry_space_group_name_Hall '-P 2ac 2n'
_cell_length_a 7.521
_cell_length_b 3.663
_cell_length_c 15.640
_cell_angle_alpha 90.00
_cell_angle_beta 90.00
_cell_angle_gamma 90.00
loop_
_atom_site_label
_atom_site_fract_x
_atom_site_fract_y
_atom_site_fract_z
Zr1 0.111 0.250 0.078
In1 0.097 0.250 0.415
In2 0.173 0.250 0.759
O1 0.065 0.750 0.322
O2 0.097 0.750 0.031
O3 0.132 0.750 0.850
O4 0.141 0.750 0.499
O5 0.241 0.750 0.684
```

Computed properties:
- calculated density (g/cm³) = 6.2
- uncorrected energy (eV/atom) = -6.98

Record 6
This record from the Alexandria database describes a relaxed Zr6In2O crystal. The functional is PBE.

Cell and atoms, written as CIF:
```
data_Zr6In2O
_symmetry_space_group_name_H-M 'I 4/m m m'
_symmetry_Int_Tables_number 139
_symmetry_space_group_name_Hall '-I 4 2'
_cell_length_a 6.398
_cell_length_b 6.398
_cell_length_c 9.002
_cell_angle_alpha 90.00
_cell_angle_beta 90.00
_cell_angle_gamma 90.00
loop_
_atom_site_label
_atom_site_fract_x
_atom_site_fract_y
_atom_site_fract_z
Zr1 0.000 0.000 0.243
Zr2 0.244 0.244 0.000
In1 0.000 0.500 0.250
O1 0.000 0.000 0.500
```

Computed properties:
- calculated density (g/cm³) = 7.1
- uncorrected energy (eV/atom) = -7.62

Record 7
This record from the Alexandria database describes a relaxed ZrInO3 crystal. The functional is PBE.

Cell and atoms, written as CIF:
```
data_ZrInO3
_symmetry_space_group_name_H-M 'P m -3 m'
_symmetry_Int_Tables_number 221
_symmetry_space_group_name_Hall '-P 4 2 3'
_cell_length_a 4.067
_cell_length_b 4.067
_cell_length_c 4.067
_cell_angle_alpha 90.00
_cell_angle_beta 90.00
_cell_angle_gamma 90.00
loop_
_atom_site_label
_atom_site_fract_x
_atom_site_fract_y
_atom_site_fract_z
Zr1 0.000 0.000 0.000
In1 0.500 0.500 0.500
O1 0.000 0.500 0.500
```

Computed properties:
- calculated density (g/cm³) = 6.3
- uncorrected energy (eV/atom) = -6.36

Record 8
This record from the Alexandria database describes a relaxed Zr6In3O crystal. The functional is PBE.

Cell and atoms, written as CIF:
```
data_Zr6In3O
_symmetry_space_group_name_H-M 'C m c 21'
_symmetry_Int_Tables_number 36
_symmetry_space_group_name_Hall 'C 2c -2'
_cell_length_a 9.984
_cell_length_b 15.948
_cell_length_c 5.448
_cell_angle_alpha 90.00
_cell_angle_beta 90.00
_cell_angle_gamma 90.00
loop_
_atom_site_label
_atom_site_fract_x
_atom_site_fract_y
_atom_site_fract_z
Zr1 0.000 0.074 0.000
Zr2 0.000 0.257 0.587
Zr3 0.167 0.420 0.502
Zr4 0.174 0.247 0.107
In1 0.000 0.412 0.996
In2 0.168 0.091 0.487
O1 0.000 0.204 0.938
```

Computed properties:
- calculated density (g/cm³) = 7.0
- uncorrected energy (eV/atom) = -7.09

Record 9
This record from the Alexandria database describes a relaxed Zr2In2O crystal. The functional is PBE.

Cell and atoms, written as CIF:
```
data_Zr2In2O
_symmetry_space_group_name_H-M 'P 4/m b m'
_symmetry_Int_Tables_number 127
_symmetry_space_group_name_Hall '-P 4 2ab'
_cell_length_a 6.063
_cell_length_b 6.063
_cell_length_c 5.481
_cell_angle_alpha 90.00
_cell_angle_beta 90.00
_cell_angle_gamma 90.00
loop_
_atom_site_label
_atom_site_fract_x
_atom_site_fract_y
_atom_site_fract_z
Zr1 0.174 0.326 0.000
In1 0.169 0.669 0.500
O1 0.000 0.000 0.000
```

Computed properties:
- calculated density (g/cm³) = 7.1
- uncorrected energy (eV/atom) = -6.55

Record 10
This record from the Alexandria database describes a relaxed Zr2InO2 crystal. The functional is PBE.

Cell and atoms, written as CIF:
```
data_Zr2InO2
_symmetry_space_group_name_H-M 'I 4/m m m'
_symmetry_Int_Tables_number 139
_symmetry_space_group_name_Hall '-I 4 2'
_cell_length_a 3.620
_cell_length_b 3.620
_cell_length_c 12.617
_cell_angle_alpha 90.00
_cell_angle_beta 90.00
_cell_angle_gamma 90.00
loop_
_atom_site_label
_atom_site_fract_x
_atom_site_fract_y
_atom_site_fract_z
Zr1 0.000 0.000 0.154
In1 0.000 0.000 0.500
O1 0.000 0.500 0.250
```

Computed properties:
- calculated density (g/cm³) = 6.6
- uncorrected energy (eV/atom) = -7.95

Record 11
This record from the Alexandria database describes a relaxed In2Os crystal. The functional is PBE.

Cell and atoms, written as CIF:
```
data_In2Os
_symmetry_space_group_name_H-M 'C 1 2/m 1'
_symmetry_Int_Tables_number 12
_symmetry_space_group_name_Hall '-C 2y'
_cell_length_a 10.102
_cell_length_b 2.956
_cell_length_c 9.041
_cell_angle_alpha 90.00
_cell_angle_beta 112.68
_cell_angle_gamma 90.00
loop_
_atom_site_label
_atom_site_fract_x
_atom_site_fract_y
_atom_site_fract_z
In1 0.007 0.000 0.171
In2 0.157 0.500 0.601
Os1 0.218 0.500 0.104
```

Computed properties:
- calculated density (g/cm³) = 11.2
- calculated formation energy (eV/atom) = 0.33

Record 12
This record from the Alexandria database describes a relaxed InOs crystal. The functional is PBE.

Cell and atoms, written as CIF:
```
data_InOs
_symmetry_space_group_name_H-M 'P m m n'
_symmetry_Int_Tables_number 59
_cell_length_a 2.906
_cell_length_b 11.304
_cell_length_c 6.776
_cell_angle_alpha 90.00
_cell_angle_beta 90.00
_cell_angle_gamma 90.00
loop_
_symmetry_equiv_pos_as_xyz
'x,y,z'
'-x,-y,-z'
'-x+1/2,-y+1/2,z'
'x+1/2,y+1/2,-z'
'x+1/2,-y,-z'
'-x+1/2,y,z'
'-x,y+1/2,-z'
'x,-y+1/2,z'
loop_
_atom_site_label
_atom_site_fract_x
_atom_site_fract_y
_atom_site_fract_z
In1 0.250 0.114 0.020
In2 0.250 0.750 0.651
Os1 0.250 0.250 0.686
Os2 0.250 0.546 0.356
```

Computed properties:
- calculated density (g/cm³) = 13.7
- calculated formation energy (eV/atom) = 0.63

Record 13
This record from the Alexandria database describes a relaxed In2Os crystal. The functional is PBE.

Cell and atoms, written as CIF:
```
data_In2Os
_symmetry_space_group_name_H-M 'P -3 m 1'
_symmetry_Int_Tables_number 164
_symmetry_space_group_name_Hall '-P 3 2"'
_cell_length_a 3.1113
_cell_length_b 3.1113
_cell_length_c 7.0973
_cell_angle_alpha 90.00
_cell_angle_beta 90.00
_cell_angle_gamma 120.00
loop_
_atom_site_label
_atom_site_fract_x
_atom_site_fract_y
_atom_site_fract_z
In1 0.3333 0.6667 0.3030
Os1 0.0000 0.0000 0.0000
```

Computed properties:
- calculated density (g/cm³) = 11.7
- calculated formation energy (eV/atom) = 0.52

Record 14
This record from the Alexandria database describes a relaxed InOs crystal. The functional is PBE.

Cell and atoms, written as CIF:
```
data_InOs
_symmetry_space_group_name_H-M 'P 21 21 21'
_symmetry_Int_Tables_number 19
_symmetry_space_group_name_Hall 'P 2ac 2ab'
_cell_length_a 6.037
_cell_length_b 7.191
_cell_length_c 7.558
_cell_angle_alpha 90.00
_cell_angle_beta 90.00
_cell_angle_gamma 90.00
loop_
_atom_site_label
_atom_site_fract_x
_atom_site_fract_y
_atom_site_fract_z
In1 0.087 0.198 0.315
In2 0.112 0.472 0.631
Os1 0.218 0.812 0.467
Os2 0.220 0.093 0.650
```

Computed properties:
- calculated density (g/cm³) = 12.4
- calculated formation energy (eV/atom) = 0.65

Record 15
This record from the Alexandria database describes a relaxed InOs crystal. The functional is PBE.

Cell and atoms, written as CIF:
```
data_InOs
_symmetry_space_group_name_H-M 'F m -3 m'
_symmetry_Int_Tables_number 225
_symmetry_space_group_name_Hall '-F 4 2 3'
_cell_length_a 5.453
_cell_length_b 5.453
_cell_length_c 5.453
_cell_angle_alpha 90.00
_cell_angle_beta 90.00
_cell_angle_gamma 90.00
loop_
_atom_site_label
_atom_site_fract_x
_atom_site_fract_y
_atom_site_fract_z
In1 0.000 0.000 0.000
Os1 0.000 0.000 0.500
```

Computed properties:
- calculated density (g/cm³) = 12.5
- calculated formation energy (eV/atom) = 1.38

Record 16
This record from the Alexandria database describes a relaxed InOs2 crystal. The functional is PBE.

Cell and atoms, written as CIF:
```
data_InOs2
_symmetry_space_group_name_H-M 'P 4/m m m'
_symmetry_Int_Tables_number 123
_symmetry_space_group_name_Hall '-P 4 2'
_cell_length_a 3.592
_cell_length_b 3.592
_cell_length_c 4.551
_cell_angle_alpha 90.00
_cell_angle_beta 90.00
_cell_angle_gamma 90.00
loop_
_atom_site_label
_atom_site_fract_x
_atom_site_fract_y
_atom_site_fract_z
In1 0.000 0.000 0.000
Os1 0.000 0.500 0.500
```

Computed properties:
- calculated density (g/cm³) = 14.0
- calculated formation energy (eV/atom) = 0.93

Record 17
This record from the Alexandria database describes a relaxed In2Os crystal. The functional is PBE.

Cell and atoms, written as CIF:
```
data_In2Os
_symmetry_space_group_name_H-M 'P 42/m n m'
_symmetry_Int_Tables_number 136
_symmetry_space_group_name_Hall '-P 4n 2n'
_cell_length_a 7.047
_cell_length_b 7.047
_cell_length_c 2.977
_cell_angle_alpha 90.00
_cell_angle_beta 90.00
_cell_angle_gamma 90.00
loop_
_atom_site_label
_atom_site_fract_x
_atom_site_fract_y
_atom_site_fract_z
In1 0.230 0.230 0.000
Os1 0.000 0.000 0.500
```

Computed properties:
- calculated density (g/cm³) = 9.4
- calculated formation energy (eV/atom) = 0.49

Record 18
This record from the Alexandria database describes a relaxed In3Os crystal. The functional is PBE.

Cell and atoms, written as CIF:
```
data_In3Os
_symmetry_space_group_name_H-M 'R -3 m'
_symmetry_Int_Tables_number 166
_symmetry_space_group_name_Hall '-R 3 2"'
_cell_length_a 9.2607
_cell_length_b 9.2607
_cell_length_c 3.3431
_cell_angle_alpha 90.00
_cell_angle_beta 90.00
_cell_angle_gamma 120.00
loop_
_atom_site_label
_atom_site_fract_x
_atom_site_fract_y
_atom_site_fract_z
In1 0.0000 0.5000 0.0000
Os1 0.0000 0.0000 0.0000
```

Computed properties:
- calculated density (g/cm³) = 10.7
- calculated formation energy (eV/atom) = 0.62

Record 19
This record from the Alexandria database describes a relaxed InOs2 crystal. The functional is PBE.

Cell and atoms, written as CIF:
```
data_InOs2
_symmetry_space_group_name_H-M 'F m -3 m'
_symmetry_Int_Tables_number 225
_symmetry_space_group_name_Hall '-F 4 2 3'
_cell_length_a 6.113
_cell_length_b 6.113
_cell_length_c 6.113
_cell_angle_alpha 90.00
_cell_angle_beta 90.00
_cell_angle_gamma 90.00
loop_
_atom_site_label
_atom_site_fract_x
_atom_site_fract_y
_atom_site_fract_z
In1 0.000 0.000 0.000
Os1 0.250 0.250 0.250
```

Computed properties:
- calculated density (g/cm³) = 14.4
- calculated formation energy (eV/atom) = 1.65

Record 20
This record from the Alexandria database describes a relaxed InOs3 crystal. The functional is PBE.

Cell and atoms, written as CIF:
```
data_InOs3
_symmetry_space_group_name_H-M 'F m -3 m'
_symmetry_Int_Tables_number 225
_symmetry_space_group_name_Hall '-F 4 2 3'
_cell_length_a 6.327
_cell_length_b 6.327
_cell_length_c 6.327
_cell_angle_alpha 90.00
_cell_angle_beta 90.00
_cell_angle_gamma 90.00
loop_
_atom_site_label
_atom_site_fract_x
_atom_site_fract_y
_atom_site_fract_z
In1 0.000 0.000 0.000
Os1 0.000 0.000 0.500
Os2 0.250 0.250 0.250
```

Computed properties:
- calculated density (g/cm³) = 18.0
- energy above the lowest structure with this stoichiometry (meV per atom) = 415
- calculated formation energy (eV/atom) = 0.78